No. 1
This record from Alexandria via LeMat-Bulk describes an optimized crystal structure of TlSiRh3. The functional is PBE.

Structure (POSCAR):
```
TlSiRh3
1.0
4.450 0.000 0.000
0.000 4.450 0.000
0.000 0.000 4.450
Tl Rh Si
1 3 1
direct
0.500 0.500 0.500 Tl
0.000 0.500 0.000 Rh
0.000 0.000 0.500 Rh
0.500 0.000 0.000 Rh
0.000 0.000 0.000 Si
```

* energy relative to the lowest polymorph listed for this composition: 0.0 meV per atom
* spin magnetization: 0.00 μB/cell
* DOS(E_F): 0.6 states/eV/cell
* space-group type: No. 221

No. 2
This record from Alexandria via LeMat-Bulk describes an optimized crystal structure of TlSiRh2. The functional is PBE.

Structure (POSCAR):
```
TlSiRh2
1.0
-1.749 -2.210 3.951
1.932 -4.436 -0.385
1.631 4.552 0.419
Rh Si Tl
2 1 1
direct
0.950 0.950 0.000 Rh
0.550 0.550 0.000 Rh
0.750 0.250 0.500 Si
0.250 0.750 0.500 Tl
```

* spin magnetization: 0.00 μB/cell
* DOS(E_F): 1.4 states/eV/cell
* space-group type: No. 71

One value per record, in order, for ΔE_f (raw): 0.017, -0.838 eV/f.u..